1.
# ScBiIr2, relaxed, DFT PBE
# V (Å³ per cell): 328.5
# Spin magnetization (Bohr magnetons per cell): 0.00
# E (eV per cell): -109.2
# Fermi-level density of states (states/eV/cell): 17.49
data_ScBiIr2
_symmetry_space_group_name_H-M 'I -4 2 d'
_symmetry_Int_Tables_number 122
_symmetry_space_group_name_Hall 'I -4 2bw'
_cell_length_a 4.264
_cell_length_b 4.264
_cell_length_c 18.067
_cell_angle_alpha 90.00
_cell_angle_beta 90.00
_cell_angle_gamma 90.00
loop_
_atom_site_label
_atom_site_type_symbol
_atom_site_fract_x
_atom_site_fract_y
_atom_site_fract_z
_atom_site_occupancy
Sc1 Sc 0.000 0.000 0.000 1
Bi1 Bi 0.000 0.000 0.500 1
Ir1 Ir 0.210 0.250 0.125 1

2.
# Sc3BiIr, relaxed, DFT PBE
# V (Å³ per cell): 129.9
# Spin magnetization (Bohr magnetons per cell): 0.00
# E (eV per cell): -34.0
# Energy above the most stable polymorph in this dataset (kJ per mole of atoms): 0.0
# Fermi-level density of states (states/eV/cell): 8.01
data_Sc3BiIr
_symmetry_space_group_name_H-M 'P m -3 m'
_symmetry_Int_Tables_number 221
_symmetry_space_group_name_Hall '-P 4 2 3'
_cell_length_a 5.065
_cell_length_b 5.065
_cell_length_c 5.065
_cell_angle_alpha 90.00
_cell_angle_beta 90.00
_cell_angle_gamma 90.00
loop_
_atom_site_label
_atom_site_type_symbol
_atom_site_fract_x
_atom_site_fract_y
_atom_site_fract_z
_atom_site_occupancy
Sc1 Sc 0.000 0.000 0.500 1
Bi1 Bi 0.500 0.500 0.500 1
Ir1 Ir 0.000 0.000 0.000 1